Below is Ag3HgBi after structural relaxation, with properties calculated at the GGA-PBEsol level.

Cell lengths 5.3172, 5.3172, 5.3172 Å; angles 90.00, 90.00, 90.00 degrees
With the nearest neighbours (Å) after each atom.
Fractional coordinates of all 5 atoms:
Ag 0.0000 0.0000 0.5000  2 Bi 2.66
Ag 0.0000 0.5000 0.0000  2 Bi 2.66
Ag 0.5000 0.0000 0.0000  2 Bi 2.66
Hg 0.5000 0.5000 0.5000  12 Ag 3.76
Bi 0.0000 0.0000 0.0000  6 Ag 2.66

ΔH_f (0 K), eV/f.u.: 2.78
Calculated total energy, hartree per atom: -0.0882
Density, g cm⁻³: 8.10
Space group: Pm-3m, No. 221



Below is AgHgBi3 after structural relaxation, with properties calculated at the GGA-PBEsol level.

Cell lengths 5.6009, 5.6009, 5.6009 Å; angles 90.00, 90.00, 90.00 degrees
With the nearest neighbours (Å) after each atom.
Fractional coordinates of all 5 atoms:
Ag 0.0000 0.0000 0.0000  12 Bi 3.96
Hg 0.5000 0.5000 0.5000  6 Bi 2.80
Bi 0.0000 0.5000 0.5000  2 Hg 2.80
Bi 0.5000 0.0000 0.5000  2 Hg 2.80
Bi 0.5000 0.5000 0.0000  2 Hg 2.80

ΔH_f (0 K), eV/f.u.: 4.43
Calculated total energy, hartree per atom: -0.0905
Density, g cm⁻³: 8.84
Space group: Pm-3m, No. 221



Below is NbAg2HgBi after structural relaxation, with properties calculated at the GGA-PBEsol level.

Cell lengths 5.0901, 5.0901, 5.3838 Å; angles 90.00, 90.00, 90.00 degrees
With the nearest neighbours (Å) after each atom.
Fractional coordinates of all 5 atoms:
Nb 0.0000 0.0000 0.0000  2 Bi 2.69
Ag 0.0000 0.5000 0.5000  2 Bi 2.55
Ag 0.5000 0.0000 0.5000  2 Bi 2.55
Hg 0.5000 0.5000 0.0000  4 Nb 3.60, 8 Ag 3.70
Bi 0.0000 0.0000 0.5000  4 Ag 2.55, 2 Nb 2.69

ΔH_f (0 K), eV/f.u.: 5.88
Calculated total energy, hartree per atom: -0.1207
Density, g cm⁻³: 8.55
Space group: P4/mmm, No. 123



Below is K2AgBiI6 after structural relaxation, with properties calculated at the GGA-PBEsol level.

Cell lengths 8.3894, 8.3894, 8.3894 Å; angles 60.00, 60.00, 60.00 degrees
With the nearest neighbours (Å) after each atom.
Fractional coordinates of all 10 atoms:
K 0.2500 0.2500 0.2500  12 I 4.20
K 0.7500 0.7500 0.7500  12 I 4.20
Ag 0.0000 0.0000 0.0000  6 I 2.90
Bi 0.5000 0.5000 0.5000  6 I 3.04
I 0.2442 0.2442 0.7558  1 Ag 2.90, 1 Bi 3.04
I 0.2442 0.7558 0.2442  1 Ag 2.90, 1 Bi 3.04
I 0.2442 0.7558 0.7558  1 Ag 2.90, 1 Bi 3.04
I 0.7558 0.2442 0.2442  1 Ag 2.90, 1 Bi 3.04
I 0.7558 0.2442 0.7558  1 Ag 2.90, 1 Bi 3.04
I 0.7558 0.7558 0.2442  1 Ag 2.90, 1 Bi 3.04

Uncorrected formation energy, kJ/mol of formula units: -712.2
Calculated total energy, hartree per atom: -0.1023
Density, g cm⁻³: 4.60
Space group: Fm-3m, No. 225



Below is Rb2AgBiI6 after structural relaxation, with properties calculated at the GGA-PBEsol level.

Cell lengths 8.4103, 8.4103, 8.4103 Å; angles 60.00, 60.00, 60.00 degrees
With the nearest neighbours (Å) after each atom.
Fractional coordinates of all 10 atoms:
Rb 0.2500 0.2500 0.2500  12 I 4.21
Rb 0.7500 0.7500 0.7500  12 I 4.21
Ag 0.0000 0.0000 0.0000  6 I 2.91
Bi 0.5000 0.5000 0.5000  6 I 3.04
I 0.2443 0.2443 0.7557  1 Ag 2.91, 1 Bi 3.04
I 0.2443 0.7557 0.2443  1 Ag 2.91, 1 Bi 3.04
I 0.2443 0.7557 0.7557  1 Ag 2.91, 1 Bi 3.04
I 0.7557 0.2443 0.2443  1 Ag 2.91, 1 Bi 3.04
I 0.7557 0.2443 0.7557  1 Ag 2.91, 1 Bi 3.04
I 0.7557 0.7557 0.2443  1 Ag 2.91, 1 Bi 3.04

Uncorrected formation energy, kJ/mol of formula units: -754.6
Calculated total energy, hartree per atom: -0.1031
Density, g cm⁻³: 4.93
Space group: Fm-3m, No. 225



Below is AgBiTe2I after structural relaxation, with properties calculated at the GGA-PBEsol level.

Cell lengths 5.3810, 5.3810, 5.3391 Å; angles 90.00, 90.00, 90.00 degrees
With the nearest neighbours (Å) after each atom.
Fractional coordinates of all 5 atoms:
Ag 0.0000 0.0000 0.0000  2 I 2.67, 4 Te 2.69
Bi 0.5000 0.5000 0.5000  8 Te 3.79, 4 I 3.80
Te 0.0000 0.5000 0.0000  2 Ag 2.69
Te 0.5000 0.0000 0.0000  2 Ag 2.69
I 0.0000 0.0000 0.5000  2 Ag 2.67

Energy relative to the lowest polymorph listed for this composition, kJ/mol of formula units: 0
Uncorrected formation energy, kJ/mol of formula units: 167.3
Calculated total energy, hartree per atom: -0.1079
Density, g cm⁻³: 7.51
Space group: P4/mmm, No. 123



Below is KAg2Bi2 after structural relaxation, with properties calculated at the GGA-PBEsol level.

Cell lengths 7.0033, 7.0033, 7.0033 Å; angles 139.67, 139.67, 58.36 degrees
With the nearest neighbours (Å) after each atom.
Fractional coordinates of all 5 atoms:
K 0.0000 0.0000 0.0000  8 Bi 3.74, 8 Ag 3.90
Ag 0.2500 0.7500 0.5000  4 Bi 2.86
Ag 0.7500 0.2500 0.5000  4 Bi 2.86
Bi 0.3759 0.3759 0.0000  4 Ag 2.86, 1 Bi 3.04
Bi 0.6241 0.6241 0.0000  4 Ag 2.86, 1 Bi 3.04

ΔH_f (0 K), eV/f.u.: -0.46
Calculated total energy, hartree per atom: -0.1234
Density, g cm⁻³: 7.84
Space group: I4/mmm, No. 139



Below is KAgBi2 after structural relaxation, with properties calculated at the GGA-PBEsol level.

Cell lengths 5.3438, 5.3438, 5.3438 Å; angles 60.00, 60.00, 60.00 degrees
With the nearest neighbours (Å) after each atom.
Fractional coordinates of all 4 atoms:
K 0.0000 0.0000 0.0000  8 Bi 3.27
Ag 0.5000 0.5000 0.5000  8 Bi 3.27
Bi 0.2500 0.2500 0.2500  4 K 3.27, 4 Ag 3.27
Bi 0.7500 0.7500 0.7500  4 Ag 3.27, 4 K 3.27

ΔH_f (0 K), eV/f.u.: 0.24
Calculated total energy, hartree per atom: -0.1173
Density, g cm⁻³: 8.69
Space group: Fm-3m, No. 225



Below is K2AgBi after structural relaxation, with properties calculated at the GGA-PBEsol level.

Cell lengths 6.7258, 6.7258, 6.2674 Å; angles 90.00, 90.00, 76.28 degrees
With the nearest neighbours (Å) after each atom.
Fractional coordinates of all 8 atoms:
K 0.0205 0.3270 0.2500  4 Bi 3.59-3.68, 3 K 3.68-3.87, 4 Ag 3.76-4.00
K 0.3270 0.0205 0.7500  4 Bi 3.59-3.68, 3 K 3.68-3.87, 4 Ag 3.76-4.00
K 0.6730 0.9795 0.2500  4 Bi 3.59-3.68, 3 K 3.68-3.87, 4 Ag 3.76-4.00
K 0.9795 0.6730 0.7500  4 Bi 3.59-3.68, 3 K 3.68-3.87, 4 Ag 3.76-4.00
Ag 0.5000 0.5000 0.0000  2 Bi 2.76
Ag 0.5000 0.5000 0.5000  2 Bi 2.76
Bi 0.2266 0.7734 0.2500  2 Ag 2.76
Bi 0.7734 0.2266 0.7500  2 Ag 2.76

ΔH_f (0 K), eV/f.u.: -1.23
Calculated total energy, hartree per atom: -0.1019
Density, g cm⁻³: 4.76
Space group: Cmcm, No. 63



Below is K2SiAgBi after structural relaxation, with properties calculated at the GGA-PBEsol level.

Cell lengths 6.2714, 6.2714, 4.5615 Å; angles 90.00, 90.00, 90.00 degrees
With the nearest neighbours (Å) after each atom.
Fractional coordinates of all 5 atoms:
K 0.0000 0.5000 0.0000  2 Si 3.14
K 0.5000 0.0000 0.0000  2 Si 3.14
Si 0.0000 0.0000 0.0000  2 Ag 2.28
Ag 0.0000 0.0000 0.5000  2 Si 2.28
Bi 0.5000 0.5000 0.5000  8 K 3.88

Uncorrected formation energy, kJ/mol of formula units: 195.1
Calculated total energy, hartree per atom: -0.0999
Density, g cm⁻³: 3.92
Space group: P4/mmm, No. 123



Below is Li3AgBi after structural relaxation, with properties calculated at the GGA-PBEsol level.

Cell lengths 4.7380, 4.7380, 4.7380 Å; angles 90.00, 90.00, 90.00 degrees
With the nearest neighbours (Å) after each atom.
Fractional coordinates of all 5 atoms:
Li 0.0000 0.0000 0.5000  2 Ag 2.37
Li 0.0000 0.5000 0.0000  2 Ag 2.37
Li 0.5000 0.0000 0.0000  2 Ag 2.37
Ag 0.0000 0.0000 0.0000  6 Li 2.37
Bi 0.5000 0.5000 0.5000  12 Li 3.35

ΔH_f (0 K), eV/f.u.: -0.16
Calculated total energy, hartree per atom: -0.1003
Density, g cm⁻³: 5.27
Space group: Pm-3m, No. 221



Below is LiAgBi2 after structural relaxation, with properties calculated at the GGA-PBEsol level.

Cell lengths 5.0810, 5.0810, 5.0810 Å; angles 60.00, 60.00, 60.00 degrees
With the nearest neighbours (Å) after each atom.
Fractional coordinates of all 4 atoms:
Li 0.0000 0.0000 0.0000  8 Bi 3.11
Ag 0.5000 0.5000 0.5000  8 Bi 3.11
Bi 0.2500 0.2500 0.2500  4 Ag 3.11, 4 Li 3.11
Bi 0.7500 0.7500 0.7500  4 Li 3.11, 4 Ag 3.11

ΔH_f (0 K), eV/f.u.: -0.50
Calculated total energy, hartree per atom: -0.1318
Density, g cm⁻³: 9.54
Space group: Fm-3m, No. 225